No. 1
Compound: CsGeI
Source: Alexandria
Functional: PBE
Structure: optimized geometry

VASP energy: -35.19 eV/cell
Formation energy without anion corrections: -0.592 eV per atom
Space-group type: No. 8

Unit cell a=11.6791 b=4.3223 c=14.1715 alpha=90.00 beta=119.94 gamma=90.00
Fractional positions:
Cs1 0.9591 0.0000 0.6936
Cs2 0.9591 0.5000 0.1936
Cs3 0.3940 0.0000 0.1498
Cs4 0.3940 0.5000 0.6498
I1 0.0939 0.0000 0.4642
I2 0.0939 0.5000 0.9642
I3 0.6531 0.0000 0.0676
I4 0.6531 0.5000 0.5676
Ge1 0.2641 0.0000 0.3572
Ge2 0.2641 0.5000 0.8572
Ge3 0.3879 0.0000 0.8778
Ge4 0.3879 0.5000 0.3778

=====

No. 2
Compound: Cs3Ge2I7
Source: Alexandria
Functional: PBE
Structure: optimized geometry

VASP energy: -34.00 eV/cell
Formation energy without anion corrections: -0.946 eV per atom
Space-group type: No. 139

Unit cell a=5.9913 b=5.9913 c=16.1968 alpha=100.66 beta=100.66 gamma=90.00
Fractional positions:
Cs1 0.3199 0.3199 0.6398
Cs2 0.6801 0.6801 0.3602
Cs3 0.5000 0.5000 0.0000
Ge1 0.0990 0.0990 0.1979
Ge2 0.9010 0.9010 0.8021
I1 0.0000 0.0000 0.0000
I2 0.9046 0.4046 0.8092
I3 0.4046 0.9046 0.8092
I4 0.0954 0.5954 0.1908
I5 0.5954 0.0954 0.1908
I6 0.1939 0.1939 0.3878
I7 0.8061 0.8061 0.6122

=====

No. 3
Compound: Cs3Ge4I12
Source: Alexandria
Functional: PBE
Structure: optimized geometry

VASP energy: -52.15 eV/cell
Formation energy without anion corrections: -0.659 eV per atom
Space-group type: No. 204

Unit cell a=10.2513 b=10.2513 c=10.2513 alpha=109.47 beta=109.47 gamma=109.47
Fractional positions:
Cs1 0.5000 0.5000 0.0000
Cs2 0.0000 0.5000 0.5000
Cs3 0.5000 0.0000 0.5000
Ge1 0.5000 0.5000 0.5000
Ge2 0.5000 0.0000 0.0000
Ge3 0.0000 0.0000 0.5000
Ge4 0.0000 0.5000 0.0000
I1 0.2511 0.7483 0.9994
I2 0.7489 0.2517 0.0006
I3 0.2511 0.2517 0.5028
I4 0.2517 0.0006 0.7489
I5 0.9994 0.2511 0.7483
I6 0.4972 0.7489 0.7483
I7 0.7483 0.4972 0.7489
I8 0.0006 0.7489 0.2517
I9 0.7489 0.7483 0.4972
I10 0.7483 0.9994 0.2511
I11 0.5028 0.2511 0.2517
I12 0.2517 0.5028 0.2511

=====

No. 4
Compound: CsGeI4
Source: Alexandria
Functional: PBE
Structure: optimized geometry

VASP energy: -14.49 eV/cell
Formation energy without anion corrections: -0.470 eV per atom
Space-group type: No. 12

Unit cell a=8.2679 b=7.4794 c=8.0861 alpha=60.55 beta=59.25 gamma=56.45
Fractional positions:
Cs1 0.5000 0.5000 0.0000
Ge1 0.0000 0.0000 0.5000
I1 0.7986 0.4622 0.4406
I2 0.8417 0.8973 0.9192
I3 0.1583 0.1027 0.0808
I4 0.2014 0.5378 0.5594

=====

No. 5
Compound: Cs3GeI6
Source: Alexandria
Functional: PBE
Structure: optimized geometry

VASP energy: -52.49 eV/cell
Formation energy without anion corrections: -0.976 eV per atom
Space-group type: No. 14

Unit cell a=8.8901 b=9.4167 c=12.7660 alpha=90.00 beta=90.15 gamma=90.00
Fractional positions:
Cs1 0.5275 0.9261 0.7484
Cs2 0.5000 0.5000 0.0000
Cs3 0.4725 0.0739 0.2516
Cs4 0.0275 0.5739 0.2484
Cs5 0.0000 0.0000 0.5000
Cs6 0.9725 0.4261 0.7516
Ge1 0.5000 0.5000 0.5000
Ge2 0.0000 0.0000 0.0000
I1 0.7335 0.1681 0.9525
I2 0.6602 0.2398 0.5599
I3 0.6046 0.4653 0.2860
I4 0.3954 0.5347 0.7140
I5 0.3398 0.7602 0.4401
I6 0.2665 0.8319 0.0475
I7 0.2335 0.3319 0.4525
I8 0.1602 0.2602 0.0599
I9 0.1046 0.0347 0.7860
I10 0.8954 0.9653 0.2140
I11 0.8398 0.7398 0.9401
I12 0.7665 0.6681 0.5475

=====

No. 6
Compound: Cs3GeI5
Source: Alexandria
Functional: PBE
Structure: optimized geometry

VASP energy: -49.90 eV/cell
Formation energy without anion corrections: -1.113 eV per atom
Space-group type: No. 140

Unit cell a=10.4673 b=10.4673 c=11.4501 alpha=117.20 beta=117.20 gamma=90.00
Fractional positions:
Cs1 0.6561 0.1561 0.0000
Cs2 0.3439 0.8439 0.0000
Cs3 0.8439 0.6561 0.0000
Cs4 0.1561 0.3439 0.0000
Cs5 0.2500 0.2500 0.5000
Cs6 0.7500 0.7500 0.5000
Ge1 0.7500 0.2500 0.5000
Ge2 0.2500 0.7500 0.5000
I1 0.0042 0.5042 0.7036
I2 0.6994 0.1994 0.7036
I3 0.1994 0.0042 0.7036
I4 0.5042 0.6994 0.7036
I5 0.9958 0.4958 0.2964
I6 0.3006 0.8006 0.2964
I7 0.8006 0.9958 0.2964
I8 0.4958 0.3006 0.2964
I9 0.5000 0.5000 0.0000
I10 0.0000 0.0000 0.0000